No. 1
VASP calculation (PBE-GGA) on a relaxed ScSbRh2 crystal.

Space group: I-42d
Formation energy (no corrections) (kJ/mol of formula units): -129

Lattice parameters (Å, degrees): 9.216 9.216 9.216 153.53 153.53 37.79
Fractional coordinates of all 8 atoms:
Sc 0.000 0.000 0.000
Sc 0.750 0.250 0.500
Sb 0.250 0.750 0.500
Sb 0.500 0.500 0.000
Rh 0.134 0.625 0.009
Rh 0.375 0.384 0.509
Rh 0.616 0.125 0.991
Rh 0.875 0.866 0.491

No. 2
VASP calculation (PBE-GGA) on a relaxed BaAlInAu3 crystal.

Space group: Cmcm
Energy (eV/f.u.): -21.02

Lattice parameters (Å, degrees): 7.524 7.524 6.903 90.00 90.00 122.41
Fractional coordinates of all 12 atoms:
Ba 0.225 0.775 0.750
Ba 0.775 0.225 0.250
Al 0.089 0.911 0.250
Al 0.911 0.089 0.750
In 0.482 0.518 0.250
In 0.518 0.482 0.750
Au 0.202 0.202 0.000
Au 0.202 0.202 0.500
Au 0.275 0.725 0.250
Au 0.725 0.275 0.750
Au 0.798 0.798 0.000
Au 0.798 0.798 0.500